Below is a relaxed YSc2Mn crystal, with properties calculated at the PBE level.

Structure (POSCAR):
```
YSc2Mn
1.0
10.275 0.103 0.061
9.717 3.341 0.061
9.717 1.674 2.892
Y Sc Mn
1 2 1
direct
0.492 0.492 0.492
0.253 0.253 0.253
0.009 0.009 0.009
0.747 0.747 0.747
```

Results
DFT formation energy: 243 meV per atom
E above lowest polymorph: 0.63 eV per formula unit

***

Below is a relaxed NaMgSbPb crystal, with properties calculated at the PBE level.

Structure (POSCAR):
```
NaMgSbPb
1.0
-1.893 2.970 1.707
-2.902 -0.356 -2.602
-3.329 -4.618 4.348
Mg Pb Sb Na
1 1 1 1
direct
0.647 0.353 0.447
0.146 0.854 0.694
0.146 0.854 0.262
0.646 0.354 0.985
```

Results
Formation energy (no corrections): -0.79 eV/f.u.
E above lowest polymorph: 0.00 eV per formula unit

***

Q: E above lowest polymorph of number 2 (NaMgSbPb)?
A: 0.00 eV per formula unit